No. 1
An optimized crystal structure of SnPbN2, computed with PBE-GGA.

```
8
Lattice="6.8739 0.3735 0.1291 1.3613 3.1027 0.7146 0.5980 -1.2557 12.6755" Properties=species:S:1:pos:R:3 pbc="T T T"
Sn 0.9797 0.9235 6.6951
Sn 3.7359 -0.4411 6.4023
Pb 3.0245 1.2949 9.0946
Pb 5.8087 0.9255 4.4248
N 7.6137 2.1315 12.2787
N 1.2196 0.0889 1.2407
N 5.2704 -0.4559 11.6752
N 3.5628 2.6763 1.8441
```

Output
D(E_F): 0.196 states/eV/atom
final energy: -5.9375 eV per atom
energy relative to the elements, uncorrected: 153.0 meV per atom
offset from the most stable computed form: 0 meV per atom

=====

No. 2
An optimized crystal structure of Sr12SnPb4N3, computed with PBE-GGA.

```
20
Lattice="-0.0851 -6.1843 7.2764 5.7127 -3.2916 -6.9086 3.2326 8.4543 3.0453" Properties=species:S:1:pos:R:3 pbc="T T T"
Sr 5.2596 3.1488 0.6488
Sr 2.2619 1.6313 7.4175
Sr 0.8857 0.6387 2.9043
Sr 3.6007 -4.1704 2.7643
Sr 4.0442 -6.8096 0.2643
Sr 1.5835 -2.6663 0.1035
Sr 2.9807 -1.2340 5.2528
Sr 5.8796 0.2124 -1.8397
Sr 3.8101 2.4257 4.1951
Sr 6.4284 3.7100 -2.7762
Sr 5.0502 -3.4473 -0.7819
Sr 2.5170 1.4527 -1.0870
Sn 0.0000 0.0000 0.0000
Pb 4.4302 -0.5108 1.7066
Pb 1.6163 4.2271 1.5227
Pb -0.0425 -3.0922 3.6382
Pb 2.8564 -1.6458 -3.4543
N 1.5738 1.1350 5.1609
N 2.8138 -4.7379 0.1839
N 4.4727 2.5813 -1.9316
```

Output
D(E_F): 0.755 states/eV/atom
final energy: -3.7040 eV per atom
energy relative to the elements, uncorrected: -504.2 meV per atom

=====

No. 3
An optimized crystal structure of SnTe2PbN, computed with PBE-GGA.

```
5
Lattice="5.9482 0.0000 0.0000 0.0000 5.9482 0.0000 0.0000 0.0000 4.3202" Properties=species:S:1:pos:R:3 pbc="T T T"
Pb 0.0000 0.0000 0.0000
Te 0.0000 2.9741 0.0000
Te 2.9741 0.0000 0.0000
Sn 2.9741 2.9741 2.1601
N 0.0000 0.0000 2.1601
```

Output
D(E_F): 0.668 states/eV/atom
final energy: -3.5951 eV per atom
energy relative to the elements, uncorrected: 868.9 meV per atom
offset from the most stable computed form: 348 meV per atom

=====

Q: Look up the final energy of the third one.
A: -3.5951 eV per atom